No. 1
The following is a DFT calculation (PBE) of a relaxed Sc4SnPt3 crystal.

Properties
Raw total energy = -55.927 eV/cell
Space-group type = R-3m
Energy relative to the elements = -1.06 eV per atom

a = 4.7516 Å, b = 4.7516 Å, c = 8.2629 Å
α = 73.29°, β = 73.29°, γ = 60.00°
Atoms (fractional coordinates):
Sc (0.8697, 0.8697, 0.3910)
Sc (0.3824, 0.3824, 0.8528)
Sc (0.1303, 0.1303, 0.6090)
Sc (0.6176, 0.6176, 0.1472)
Sn (0.0000, 0.0000, 0.0000)
Pt (0.2593, 0.2593, 0.2220)
Pt (0.7407, 0.7407, 0.7780)
Pt (0.5000, 0.5000, 0.5000)

No. 2
The following is a DFT calculation (PBE) of a relaxed Ga2Ni21P6 crystal.

Properties
Raw total energy = -171.936 eV/cell
Space-group type = Fm-3m
Energy relative to the elements = -0.41 eV per atom

a = 7.7965 Å, b = 7.7965 Å, c = 7.7965 Å
α = 60.00°, β = 60.00°, γ = 60.00°
Atoms (fractional coordinates):
Ga (0.7500, 0.7500, 0.7500)
Ga (0.2500, 0.2500, 0.2500)
Ni (0.0000, 0.0000, 0.0000)
Ni (0.6197, 0.6197, 0.1408)
Ni (0.6197, 0.6197, 0.6197)
Ni (0.6197, 0.1408, 0.6197)
Ni (0.1408, 0.6197, 0.6197)
Ni (0.3803, 0.3803, 0.8592)
Ni (0.3803, 0.3803, 0.3803)
Ni (0.3803, 0.8592, 0.3803)
Ni (0.8592, 0.3803, 0.3803)
Ni (0.6526, 0.0000, 0.3474)
Ni (0.0000, 0.6526, 0.3474)
Ni (0.0000, 0.0000, 0.3474)
Ni (0.0000, 0.6526, 0.0000)
Ni (0.6526, 0.0000, 0.0000)
Ni (0.0000, 0.0000, 0.6526)
Ni (0.0000, 0.3474, 0.0000)
Ni (0.0000, 0.3474, 0.6526)
Ni (0.6526, 0.3474, 0.0000)
Ni (0.3474, 0.0000, 0.6526)
Ni (0.3474, 0.0000, 0.0000)
Ni (0.3474, 0.6526, 0.0000)
P (0.2645, 0.7355, 0.2645)
P (0.7355, 0.2645, 0.2645)
P (0.7355, 0.7355, 0.2645)
P (0.7355, 0.2645, 0.7355)
P (0.2645, 0.7355, 0.7355)
P (0.2645, 0.2645, 0.7355)

No. 3
The following is a DFT calculation (PBE) of a relaxed Li3TbCe2S6 crystal.

Properties
Raw total energy = -68.096 eV/cell
Space-group type = C2/m

a = 6.9607 Å, b = 6.9607 Å, c = 6.5911 Å
α = 100.06°, β = 100.06°, γ = 120.06°
Atoms (fractional coordinates):
Li (0.1599, 0.8401, 0.5000)
Li (0.8401, 0.1599, 0.5000)
Li (0.5000, 0.5000, 0.5000)
Tb (0.0000, 0.0000, 0.0000)
Ce (0.3328, 0.6672, 0.0000)
Ce (0.6672, 0.3328, 0.0000)
S (0.9152, 0.5886, 0.7449)
S (0.7569, 0.7569, 0.2540)
S (0.0848, 0.4114, 0.2551)
S (0.5886, 0.9152, 0.7449)
S (0.2431, 0.2431, 0.7460)
S (0.4114, 0.0848, 0.2551)